Entry from Alexandria: a geometry-optimized Ca16Mg12Zn structure (GGA-PBE).

## Properties
For the density of states at the Fermi level, the calculation gives 25.4 states/eV/cell. The calculation puts the formation energy at -0.042 eV per atom.

```
Ca16Mg12Zn
1.0
6.155 -8.533 0.000
6.155 8.533 0.000
-5.955 0.000 8.875
Ca Mg Zn
16 12 1
Cartesian
0.000 0.000 0.000 Ca
2.393 3.474 0.177 Ca
1.967 5.520 3.034 Ca
-0.121 5.909 6.594 Ca
-1.945 0.000 3.086 Ca
-0.088 2.583 8.294 Ca
3.506 0.000 0.287 Ca
2.588 3.326 5.777 Ca
0.864 0.000 5.863 Ca
2.393 -3.474 0.177 Ca
4.625 1.984 3.179 Ca
-0.088 -2.583 8.294 Ca
1.967 -5.520 3.034 Ca
4.625 -1.984 3.179 Ca
-0.121 -5.909 6.594 Ca
2.588 -3.326 5.777 Ca
-2.901 1.612 6.154 Mg
1.291 1.593 2.831 Mg
5.203 5.331 1.394 Mg
-2.901 -1.612 6.154 Mg
1.291 -1.593 2.831 Mg
5.406 5.319 4.555 Mg
3.241 1.539 8.629 Mg
6.997 0.000 1.450 Mg
5.203 -5.331 1.394 Mg
3.241 -1.539 8.629 Mg
7.110 0.000 4.701 Mg
5.406 -5.319 4.555 Mg
4.192 0.000 6.037 Zn
```


Entry from Alexandria: a geometry-optimized Co2MoHIr structure (GGA-PBE).

## Properties
For the density of states at the Fermi level, the calculation gives 3.9 states/eV/cell. The value obtained for the polymorph energy (0 for the lowest one) is 0 meV per atom.

```
Co2MoHIr
1.0
3.726 0.000 0.000
0.000 3.726 0.000
0.000 0.000 3.848
Co Mo H Ir
2 1 1 1
Cartesian
0.000 1.863 0.000 Co
1.863 0.000 0.000 Co
0.000 0.000 1.924 Mo
0.000 0.000 0.000 H
1.863 1.863 1.924 Ir
```


Entry from Alexandria: a geometry-optimized Na2HF3 structure (GGA-PBE).

## Properties
For the density of states at the Fermi level, the calculation gives 0.0 states/eV/cell. The value obtained for the polymorph energy (0 for the lowest one) is 11 meV per atom.

```
Na2HF3
1.0
5.208 -2.241 0.000
5.208 2.241 0.000
-2.224 0.000 6.492
Na H F
4 2 6
Cartesian
1.684 0.002 0.587 Na
0.572 -0.002 3.832 Na
7.619 0.002 2.659 Na
6.507 -0.002 5.905 Na
3.540 0.764 4.869 H
4.652 -0.764 1.623 H
3.540 1.722 4.869 F
2.527 0.001 2.688 F
1.415 -0.001 5.934 F
6.776 0.001 0.558 F
5.665 -0.001 3.803 F
4.652 -1.722 1.623 F
```


Entry from Alexandria: a geometry-optimized Pm5Nd2Tm2 structure (GGA-PBE).

## Properties
For the density of states at the Fermi level, the calculation gives 26.6 states/eV/cell. The value obtained for the polymorph energy (0 for the lowest one) is 191 meV per atom. The calculation puts the formation energy at 0.209 eV per atom.

```
Pm5Nd2Tm2
1.0
-7.483 5.968 3.421
7.483 -5.968 3.421
7.483 5.968 -3.421
Pm Nd Tm
10 4 4
Cartesian
3.742 3.067 -1.371 Pm
9.626 2.798 -1.163 Pm
5.341 -3.170 2.258 Pm
0.788 2.968 0.000 Pm
6.696 2.968 0.000 Pm
3.742 2.901 2.050 Pm
-2.143 3.170 2.258 Pm
9.626 3.170 2.258 Pm
0.788 3.000 3.421 Pm
6.696 3.000 3.421 Pm
1.889 -0.038 1.031 Nd
5.594 -0.038 1.031 Nd
5.594 6.006 -2.390 Nd
9.372 0.038 1.031 Nd
3.742 -0.107 4.160 Tm
3.742 6.075 0.739 Tm
0.000 5.968 1.228 Tm
0.000 0.000 4.649 Tm
```


Entry from Alexandria: a geometry-optimized Na2InAgF6 structure (GGA-PBE).

## Properties
The formation energy (no corrections) comes out at -2.3329 eV/atom. For the density of states at the Fermi level, the calculation gives 0.0 states/eV/cell. The value obtained for the polymorph energy (0 for the lowest one) is 0 meV per atom.

```
Na2InAgF6
1.0
2.935 1.695 5.178
-2.935 1.695 5.178
0.000 -3.389 5.178
Na In Ag F
2 1 1 6
Cartesian
0.000 0.000 0.000 Na
0.000 0.000 7.598 Na
0.000 0.000 10.818 In
0.000 0.000 3.290 Ag
-1.105 -1.818 6.670 F
-1.629 -0.074 9.439 F
-1.022 1.866 6.670 F
0.879 -1.374 9.439 F
2.127 -0.048 6.670 F
0.750 1.448 9.439 F
```


Entry from Alexandria: a geometry-optimized NaWAu structure (GGA-PBE).

## Properties
For the density of states at the Fermi level, the calculation gives 7.7 states/eV/cell. The value obtained for the polymorph energy (0 for the lowest one) is 0 meV per atom. The calculation puts the formation energy at 0.316 eV per atom.

```
NaWAu
1.0
7.794 0.000 0.000
0.000 2.933 0.000
0.000 0.000 9.951
Na W Au
4 4 4
Cartesian
1.111 0.733 0.833 Na
2.786 2.199 5.808 Na
5.008 0.733 4.143 Na
6.684 2.199 9.118 Na
0.335 0.733 4.020 W
3.562 2.199 8.996 W
4.233 0.733 0.956 W
7.459 2.199 5.931 W
1.292 0.733 7.856 Au
2.605 2.199 2.880 Au
5.189 0.733 7.071 Au
6.502 2.199 2.095 Au
```


Entry from Alexandria: a geometry-optimized La4Ga2Ag3 structure (GGA-PBE).

## Properties
For the density of states at the Fermi level, the calculation gives 9.3 states/eV/cell. The calculation puts the formation energy at -0.330 eV per atom.

```
La4Ga2Ag3
1.0
4.498 -2.597 0.000
4.498 2.597 0.000
-0.011 0.000 10.097
La Ga Ag
4 2 3
Cartesian
8.991 0.000 1.613 La
-0.005 0.000 8.484 La
2.994 0.000 6.210 La
5.992 0.000 3.887 La
2.993 0.000 2.869 Ga
5.992 0.000 7.228 Ga
-0.006 0.000 5.048 Ag
2.999 0.000 0.062 Ag
5.987 0.000 10.035 Ag
```